A relaxed HoPuH4 crystal, computed with PBE-GGA. Values from VASP.

The calculation puts the density of states at the Fermi level at 6.41 states/eV per cell. The calculation puts the total energy at -5.92 eV per atom. The total moment is 5.41 Bohr magnetons per cell. The mass density is 9667 kg/m3. As for the space group: No. 123.

Geometry as Quantum ESPRESSO input:
```
&SYSTEM
  ibrav = 0, nat = 6, ntyp = 3
/
ATOMIC_SPECIES
Ho 164.93 Ho.upf
Pu 244.00 Pu.upf
H 1.01 H.upf
CELL_PARAMETERS angstrom
3.6716 0.0000 0.0000
0.0000 3.6716 0.0000
0.0000 0.0000 5.2621
ATOMIC_POSITIONS crystal
Ho 0.0000 0.0000 0.0000
Pu 0.5000 0.5000 0.5000
H 0.0000 0.5000 0.2408
H 0.0000 0.5000 0.7592
H 0.5000 0.0000 0.2408
H 0.5000 0.0000 0.7592
```